1.
InCoSb2 | GGA-PBEsol | relaxed

```
data_InCoSb2
_space_group_name_H-M_alt 'P 1'
_space_group_IT_number 1
_space_group_name_Hall 'P 1'
_cell_length_a 3.159
_cell_length_b 4.405
_cell_length_c 6.695
_cell_angle_alpha 109.21
_cell_angle_beta 103.65
_cell_angle_gamma 90.00
loop_
_atom_site_label
_atom_site_type_symbol
_atom_site_fract_x
_atom_site_fract_y
_atom_site_fract_z
Sb1 Sb 0.829 0.829 0.659
Sb2 Sb 0.171 0.171 0.341
Co1 Co 0.500 0.000 0.000
In1 In 0.000 0.500 0.000
```

ΔE_f (raw): 0.039 eV per atom
SG: Immm
Calculated density: 8.13 Mg/m³
Total moment: 0.0 μB/cell

=====

2.
Ta2CoIr | GGA-PBEsol | relaxed

```
data_Ta2CoIr
_space_group_name_H-M_alt 'P 1'
_space_group_IT_number 1
_space_group_name_Hall 'P 1'
_cell_length_a 3.982
_cell_length_b 3.982
_cell_length_c 4.662
_cell_angle_alpha 115.29
_cell_angle_beta 115.29
_cell_angle_gamma 90.00
loop_
_atom_site_label
_atom_site_type_symbol
_atom_site_fract_x
_atom_site_fract_y
_atom_site_fract_z
Ta1 Ta 0.750 0.250 0.500
Ta2 Ta 0.250 0.750 0.500
Co1 Co 0.000 0.000 0.000
Ir1 Ir 0.500 0.500 0.000
```

SG: I4/mmm
Calculated total energy: -44.1 eV/f.u.
Calculated density: 17.28 Mg/m³
Total moment: 0.0 μB/cell

=====

3.
CaY3Re | GGA-PBEsol | relaxed

```
data_CaY3Re
_space_group_name_H-M_alt 'P 1'
_space_group_IT_number 1
_space_group_name_Hall 'P 1'
_cell_length_a 5.104
_cell_length_b 5.104
_cell_length_c 5.104
_cell_angle_alpha 90.00
_cell_angle_beta 90.00
_cell_angle_gamma 90.00
loop_
_atom_site_label
_atom_site_type_symbol
_atom_site_fract_x
_atom_site_fract_y
_atom_site_fract_z
Y1 Y 0.000 0.000 0.500
Y2 Y 0.000 0.500 0.000
Y3 Y 0.500 0.000 0.000
Re1 Re 0.500 0.500 0.500
Ca1 Ca 0.000 0.000 0.000
```

SG: Pm-3m
Calculated total energy: -26.5 eV/f.u.
Calculated density: 6.16 Mg/m³
Total moment: 2.6 μB/cell

=====

4.
ScCo2Ir | GGA-PBEsol | relaxed

```
data_ScCo2Ir
_space_group_name_H-M_alt 'P 1'
_space_group_IT_number 1
_space_group_name_Hall 'P 1'
_cell_length_a 4.248
_cell_length_b 4.248
_cell_length_c 4.248
_cell_angle_alpha 60.00
_cell_angle_beta 60.00
_cell_angle_gamma 60.00
loop_
_atom_site_label
_atom_site_type_symbol
_atom_site_fract_x
_atom_site_fract_y
_atom_site_fract_z
Ir1 Ir 0.500 0.500 0.500
Co1 Co 0.000 0.000 0.000
Co2 Co 0.750 0.750 0.750
Sc1 Sc 0.250 0.250 0.250
```

SG: F-43m
Calculated total energy: -32.4 eV/f.u.
Calculated density: 10.87 Mg/m³
Total moment: 3.6 μB/cell

=====

5.
Mg2ScCr | GGA-PBEsol | relaxed

```
data_Mg2ScCr
_space_group_name_H-M_alt 'P 1'
_space_group_IT_number 1
_space_group_name_Hall 'P 1'
_cell_length_a 3.416
_cell_length_b 3.416
_cell_length_c 6.884
_cell_angle_alpha 90.00
_cell_angle_beta 90.00
_cell_angle_gamma 90.00
loop_
_atom_site_label
_atom_site_type_symbol
_atom_site_fract_x
_atom_site_fract_y
_atom_site_fract_z
Sc1 Sc 0.500 0.500 0.000
Mg1 Mg 0.000 0.000 0.278
Mg2 Mg 0.000 0.000 0.722
Cr1 Cr 0.500 0.500 0.500
```

E above lowest polymorph: 0.0659 eV per atom
SG: P4/mmm
Calculated density: 3.01 Mg/m³
Total moment: 3.1 μB/cell

=====

6.
K2RuO4 | GGA-PBEsol | relaxed

```
data_K2RuO4
_space_group_name_H-M_alt 'P 1'
_space_group_IT_number 1
_space_group_name_Hall 'P 1'
_cell_length_a 6.076
_cell_length_b 7.747
_cell_length_c 10.631
_cell_angle_alpha 90.00
_cell_angle_beta 90.00
_cell_angle_gamma 90.00
loop_
_atom_site_label
_atom_site_type_symbol
_atom_site_fract_x
_atom_site_fract_y
_atom_site_fract_z
O1 O 0.250 0.015 0.939
O2 O 0.488 0.216 0.662
O3 O 0.512 0.784 0.338
O4 O 0.750 0.322 0.934
O5 O 0.750 0.822 0.566
O6 O 0.250 0.178 0.434
O7 O 0.488 0.716 0.838
O8 O 0.012 0.716 0.838
O9 O 0.012 0.216 0.662
O10 O 0.988 0.784 0.338
O11 O 0.750 0.985 0.061
O12 O 0.512 0.284 0.162
O13 O 0.988 0.284 0.162
O14 O 0.250 0.515 0.561
O15 O 0.250 0.678 0.066
O16 O 0.750 0.485 0.439
K1 K 0.750 0.003 0.793
K2 K 0.250 0.846 0.563
K3 K 0.250 0.997 0.207
K4 K 0.750 0.503 0.707
K5 K 0.250 0.497 0.293
K6 K 0.250 0.346 0.937
K7 K 0.750 0.654 0.063
K8 K 0.750 0.154 0.437
Ru1 Ru 0.250 0.790 0.919
Ru2 Ru 0.750 0.210 0.081
Ru3 Ru 0.250 0.290 0.581
Ru4 Ru 0.750 0.710 0.419
```

ΔE_f (raw): -1.294 eV per atom
SG: Pnma
Calculated density: 3.23 Mg/m³
Total moment: 8.0 μB/cell

=====

7.
LiTlRe | GGA-PBEsol | relaxed

```
data_LiTlRe
_space_group_name_H-M_alt 'P 1'
_space_group_IT_number 1
_space_group_name_Hall 'P 1'
_cell_length_a 2.889
_cell_length_b 2.889
_cell_length_c 7.164
_cell_angle_alpha 90.00
_cell_angle_beta 90.00
_cell_angle_gamma 120.00
loop_
_atom_site_label
_atom_site_type_symbol
_atom_site_fract_x
_atom_site_fract_y
_atom_site_fract_z
Li1 Li 0.000 0.000 0.988
Tl1 Tl 0.667 0.333 0.333
Re1 Re 0.333 0.667 0.679
```

E above lowest polymorph: 0.0000 eV per atom
SG: P3m1
Calculated density: 12.74 Mg/m³
Total moment: 0.0 μB/cell

=====

8.
AlInIr | GGA-PBEsol | relaxed

```
data_AlInIr
_space_group_name_H-M_alt 'P 1'
_space_group_IT_number 1
_space_group_name_Hall 'P 1'
_cell_length_a 3.143
_cell_length_b 4.296
_cell_length_c 4.296
_cell_angle_alpha 120.00
_cell_angle_beta 90.00
_cell_angle_gamma 90.00
loop_
_atom_site_label
_atom_site_type_symbol
_atom_site_fract_x
_atom_site_fract_y
_atom_site_fract_z
In1 In 0.000 0.333 0.667
Al1 Al 0.500 0.000 0.000
Ir1 Ir 0.500 0.667 0.333
```

SG: P-6m2
Calculated total energy: -17.5 eV/f.u.
Calculated density: 11.04 Mg/m³
Total moment: 0.0 μB/cell

=====

9.
LiAsF6 | GGA-PBEsol | relaxed

```
data_LiAsF6
_space_group_name_H-M_alt 'P 1'
_space_group_IT_number 1
_space_group_name_Hall 'P 1'
_cell_length_a 5.014
_cell_length_b 5.014
_cell_length_c 5.243
_cell_angle_alpha 61.44
_cell_angle_beta 61.44
_cell_angle_gamma 60.00
loop_
_atom_site_label
_atom_site_type_symbol
_atom_site_fract_x
_atom_site_fract_y
_atom_site_fract_z
Li1 Li 0.500 0.500 0.500
F1 F 0.123 0.338 0.768
F2 F 0.229 0.877 0.232
F3 F 0.338 0.771 0.768
F4 F 0.662 0.229 0.232
F5 F 0.771 0.123 0.768
F6 F 0.877 0.662 0.232
As1 As 0.000 0.000 0.000
```

ΔE_f (raw): -2.411 eV per atom
SG: R-3
Calculated density: 3.42 Mg/m³
Total moment: 0.0 μB/cell

=====

10.
MgCd2Pt | GGA-PBEsol | relaxed

```
data_MgCd2Pt
_space_group_name_H-M_alt 'P 1'
_space_group_IT_number 1
_space_group_name_Hall 'P 1'
_cell_length_a 3.003
_cell_length_b 3.821
_cell_length_c 6.280
_cell_angle_alpha 90.00
_cell_angle_beta 90.00
_cell_angle_gamma 90.00
loop_
_atom_site_label
_atom_site_type_symbol
_atom_site_fract_x
_atom_site_fract_y
_atom_site_fract_z
Pt1 Pt 0.500 0.500 0.730
Mg1 Mg 0.000 0.000 0.533
Cd1 Cd 0.000 0.000 0.983
Cd2 Cd 0.500 0.500 0.254
```

SG: Pmm2
Calculated total energy: -12.4 eV/f.u.
Calculated density: 10.23 Mg/m³
Total moment: 0.0 μB/cell

=====

11.
MnTe2W | GGA-PBEsol | relaxed

```
data_MnTe2W
_space_group_name_H-M_alt 'P 1'
_space_group_IT_number 1
_space_group_name_Hall 'P 1'
_cell_length_a 3.329
_cell_length_b 3.329
_cell_length_c 7.567
_cell_angle_alpha 90.00
_cell_angle_beta 90.00
_cell_angle_gamma 90.00
loop_
_atom_site_label
_atom_site_type_symbol
_atom_site_fract_x
_atom_site_fract_y
_atom_site_fract_z
Mn1 Mn 0.500 0.500 0.724
W1 W 0.000 0.000 0.537
Te1 Te 0.500 0.500 0.334
Te2 Te 0.000 0.000 0.905
```

E above lowest polymorph: 0.0000 eV per atom
ΔE_f (raw): 0.241 eV per atom
SG: P4mm
Calculated density: 9.78 Mg/m³
Total moment: 3.0 μB/cell

=====

12.
Ag2IF | GGA-PBEsol | relaxed

```
data_Ag2IF
_space_group_name_H-M_alt 'P 1'
_space_group_IT_number 1
_space_group_name_Hall 'P 1'
_cell_length_a 5.061
_cell_length_b 5.061
_cell_length_c 7.949
_cell_angle_alpha 108.56
_cell_angle_beta 108.56
_cell_angle_gamma 90.00
loop_
_atom_site_label
_atom_site_type_symbol
_atom_site_fract_x
_atom_site_fract_y
_atom_site_fract_z
Ag1 Ag 0.625 0.532 0.750
Ag2 Ag 0.468 0.875 0.250
Ag3 Ag 0.125 0.218 0.750
Ag4 Ag 0.782 0.375 0.250
F1 F 0.500 0.500 0.000
F2 F 0.750 0.250 0.500
I1 I 0.250 0.750 0.500
I2 I 0.000 0.000 0.000
```

ΔE_f (raw): -0.508 eV per atom
SG: I-42d
Calculated density: 6.61 Mg/m³
Total moment: 0.0 μB/cell

=====

13.
ZnTe2Os | GGA-PBEsol | relaxed

```
data_ZnTe2Os
_space_group_name_H-M_alt 'P 1'
_space_group_IT_number 1
_space_group_name_Hall 'P 1'
_cell_length_a 3.205
_cell_length_b 3.205
_cell_length_c 7.802
_cell_angle_alpha 90.00
_cell_angle_beta 90.00
_cell_angle_gamma 90.00
loop_
_atom_site_label
_atom_site_type_symbol
_atom_site_fract_x
_atom_site_fract_y
_atom_site_fract_z
Te1 Te 0.000 0.000 0.718
Te2 Te 0.000 0.000 0.282
Os1 Os 0.500 0.500 0.500
Zn1 Zn 0.500 0.500 0.000
```

ΔE_f (raw): 0.499 eV per atom
SG: P4/mmm
Calculated density: 10.59 Mg/m³
Total moment: 0.0 μB/cell